1.
This record from Alexandria via LeMat-Bulk describes an optimized crystal structure of LiNdTmSc. The functional is PBE.

abc: 5.3745 5.3745 5.3745
angles: 60.00 60.00 60.00
Closest atoms and distances in Å follow each position.
Fractional coordinates of all 4 atoms:
Tm 0.2500 0.2500 0.2500  4 Li 3.29, 4 Sc 3.29
Nd 0.7500 0.7500 0.7500  4 Sc 3.29, 4 Li 3.29
Sc 0.5000 0.5000 0.5000  4 Nd 3.29, 4 Tm 3.29
Li 0.0000 0.0000 0.0000  4 Tm 3.29, 4 Nd 3.29

As for the volume: 109.8 Å³/cell. As for the formation enthalpy at 0 K: 152 meV per atom.


2.
This record from Alexandria via LeMat-Bulk describes an optimized crystal structure of LiNdYSc. The functional is PBE.

abc: 5.4123 5.4123 5.4123
angles: 60.00 60.00 60.00
Closest atoms and distances in Å follow each position.
Fractional coordinates of all 4 atoms:
Sc 0.2500 0.2500 0.2500  4 Y 3.31, 4 Nd 3.31
Y 0.5000 0.5000 0.5000  4 Li 3.31, 4 Sc 3.31
Li 0.7500 0.7500 0.7500  4 Nd 3.31, 4 Y 3.31
Nd 0.0000 0.0000 0.0000  4 Li 3.31, 4 Sc 3.31

As for the volume: 112.1 Å³/cell. As for the formation enthalpy at 0 K: 142 meV per atom.


3.
This record from Alexandria via LeMat-Bulk describes an optimized crystal structure of LiNdScZn. The functional is PBE.

abc: 5.0466 5.0466 5.0466
angles: 60.00 60.00 60.00
Closest atoms and distances in Å follow each position.
Fractional coordinates of all 4 atoms:
Sc 0.2500 0.2500 0.2500  4 Zn 3.09, 4 Li 3.09
Li 0.5000 0.5000 0.5000  4 Sc 3.09, 4 Nd 3.09
Nd 0.7500 0.7500 0.7500  4 Li 3.09, 4 Zn 3.09
Zn 0.0000 0.0000 0.0000  4 Nd 3.09, 4 Sc 3.09

As for the volume: 90.9 Å³/cell. As for the formation enthalpy at 0 K: -92 meV per atom.


4.
This record from Alexandria via LeMat-Bulk describes an optimized crystal structure of LiNd4Se7. The functional is PBE.

abc: 4.1265 7.1250 12.0828
angles: 104.52 90.00 106.83
Closest atoms and distances in Å follow each position.
Fractional coordinates of all 12 atoms:
Li 0.8760 0.7520 0.5719  6 Se 2.77-2.84
Nd 0.3139 0.6278 0.2176  6 Se 2.92-3.16
Nd 0.1085 0.2169 0.4432  6 Se 2.91-3.00
Nd 0.0096 0.0191 0.9894  6 Se 2.85-2.98
Nd 0.7010 0.4019 0.8008  7 Se 2.97-3.22
Se 0.9649 0.9297 0.2135  4 Nd 2.92-2.95
Se 0.2709 0.5417 0.6548  2 Li 2.84, 3 Nd 2.91-3.03
Se 0.0395 0.0791 0.7648  1 Li 2.77, 3 Nd 2.85-2.97
Se 0.7315 0.4630 0.3586  1 Li 2.80, 4 Nd 3.00-3.07
Se 0.4688 0.9375 0.4765  2 Li 2.82, 2 Nd 2.91
Se 0.6689 0.3378 0.0557  5 Nd 2.95-3.22
Se 0.3467 0.6934 0.9531  4 Nd 2.98-3.11

As for the volume: 328.2 Å³/cell. As for the raw formation energy: -19.8 eV per formula unit.


5.
This record from Alexandria via LeMat-Bulk describes an optimized crystal structure of LiNd5Se8. The functional is PBE.

abc: 7.7241 7.7241 7.7241
angles: 109.81 108.80 109.81
Closest atoms and distances in Å follow each position.
Fractional coordinates of all 14 atoms:
Se 0.6354 0.3963 0.8811  5 Nd 2.97-3.20, 1 Li 3.28
Se 0.6148 0.8907 0.8687  1 Li 2.93, 5 Nd 2.97-3.24
Se 0.7609 0.2456 0.3646  5 Nd 2.97-3.20, 1 Li 3.28
Se 0.4848 0.6037 0.2391  5 Nd 2.97-3.20, 1 Li 3.28
Se 0.9780 0.1093 0.7241  1 Li 2.93, 5 Nd 2.97-3.24
Se 0.2759 0.2539 0.3852  1 Li 2.93, 5 Nd 2.97-3.24
Se 0.1189 0.7544 0.5152  5 Nd 2.97-3.20, 1 Li 3.28
Se 0.1313 0.7461 0.0220  1 Li 2.93, 5 Nd 2.97-3.24
Nd 0.0059 0.3744 0.1250  8 Se 2.97-3.24
Nd 0.7506 0.6256 0.6315  8 Se 2.97-3.24
Nd 0.3685 0.1191 0.9941  8 Se 2.97-3.24
Nd 0.8750 0.8809 0.2494  8 Se 2.97-3.24
Nd 0.5000 0.0000 0.5000  8 Se 2.98-3.18
Li 0.2500 0.5000 0.7500  8 Se 2.93-3.28

As for the volume: 354.7 Å³/cell. As for the raw formation energy: -25.6 eV per formula unit.


6.
This record from Alexandria via LeMat-Bulk describes an optimized crystal structure of LiNdSe2. The functional is PBE.

abc: 7.2364 7.2364 7.2364
angles: 132.11 132.11 70.05
Closest atoms and distances in Å follow each position.
Fractional coordinates of all 8 atoms:
Se 0.7508 0.7508 0.0000  3 Nd 2.94-2.95, 3 Li 2.94-2.97
Se 0.2492 0.2492 0.0000  3 Li 2.94-2.97, 3 Nd 2.94-2.95
Se 0.5008 0.0008 0.5000  3 Li 2.94-2.97, 3 Nd 2.94-2.95
Se 0.9992 0.4992 0.5000  3 Nd 2.94-2.95, 3 Li 2.94-2.97
Li 0.2500 0.7500 0.5000  6 Se 2.94-2.97
Li 0.5000 0.5000 0.0000  6 Se 2.94-2.97
Nd 0.0000 0.0000 0.0000  6 Se 2.94-2.95
Nd 0.7500 0.2500 0.5000  6 Se 2.94-2.95

As for the volume: 204.4 Å³/cell. As for the raw formation energy: -6.6 eV per formula unit.


7.
This record from Alexandria via LeMat-Bulk describes an optimized crystal structure of LiNdSe2. The functional is PBE.

abc: 4.2116 4.2116 5.7548
angles: 90.00 90.00 90.00
Closest atoms and distances in Å follow each position.
Fractional coordinates of all 4 atoms:
Li 0.0000 0.0000 0.0000  6 Se 2.88-2.98
Se 0.5000 0.5000 0.0000  2 Nd 2.88, 4 Li 2.98
Se 0.0000 0.0000 0.5000  2 Li 2.88, 4 Nd 2.98
Nd 0.5000 0.5000 0.5000  6 Se 2.88-2.98

As for the volume: 102.1 Å³/cell. As for the raw formation energy: -6.4 eV per formula unit.


8.
This record from Alexandria via LeMat-Bulk describes an optimized crystal structure of Li2NdSe2. The functional is PBE.

abc: 4.1286 4.1286 8.2673
angles: 75.54 75.54 60.00
Closest atoms and distances in Å follow each position.
Fractional coordinates of all 5 atoms:
Li 0.2233 0.2233 0.3300  3 Se 2.49
Li 0.7767 0.7767 0.6700  3 Se 2.49
Se 0.4127 0.4127 0.7618  3 Li 2.49
Se 0.5873 0.5873 0.2382  3 Li 2.49
Nd 0.0000 0.0000 0.0000  6 Se 3.04

As for the volume: 116.9 Å³/cell. As for the raw formation energy: -6.8 eV per formula unit.


9.
This record from Alexandria via LeMat-Bulk describes an optimized crystal structure of LiNdSe2. The functional is PBE.

abc: 4.1759 4.1759 7.4141
angles: 73.64 73.64 60.00
Closest atoms and distances in Å follow each position.
Fractional coordinates of all 4 atoms:
Li 0.4884 0.4884 0.5347  3 Se 2.81
Se 0.0865 0.0865 0.7405  3 Li 2.81, 3 Nd 2.99
Se 0.2561 0.2561 0.2316  3 Nd 2.93, 3 Li 3.21
Nd 0.6690 0.6690 0.9931  6 Se 2.93-2.99

As for the volume: 105.9 Å³/cell. As for the raw formation energy: -6.4 eV per formula unit.


10.
This record from Alexandria via LeMat-Bulk describes an optimized crystal structure of Li3Nd2Se4. The functional is PBE.

abc: 4.1615 4.1615 14.4713
angles: 90.53 89.47 120.07
Closest atoms and distances in Å follow each position.
Fractional coordinates of all 9 atoms:
Se 0.6651 0.3349 0.1064  3 Li 2.85, 3 Nd 2.94
Se 0.9935 0.0065 0.3555  3 Li 2.51
Se 0.3349 0.6651 0.8936  3 Li 2.85, 3 Nd 2.94
Se 0.0065 0.9935 0.6445  3 Li 2.51
Nd 0.3295 0.6705 0.2230  6 Se 2.94-3.07
Nd 0.6705 0.3295 0.7770  6 Se 2.94-3.07
Li 0.6597 0.3403 0.4059  3 Se 2.51
Li 0.0000 0.0000 0.0000  6 Se 2.85
Li 0.3403 0.6597 0.5941  3 Se 2.51

As for the volume: 216.9 Å³/cell. As for the raw formation energy: -13.3 eV per formula unit.


11.
This record from Alexandria via LeMat-Bulk describes an optimized crystal structure of LiNdSe. The functional is PBE.

abc: 4.1464 4.1790 4.1790
angles: 120.00 90.00 90.00
Closest atoms and distances in Å follow each position.
Fractional coordinates of all 3 atoms:
Se 0.1667 0.0000 0.0000  3 Li 2.41
Nd 0.6666 0.3333 0.6667  6 Li 3.18, 6 Se 3.18
Li 0.1667 0.6667 0.3333  3 Se 2.41

As for the volume: 62.7 Å³/cell. As for the raw formation energy: -3.5 eV per formula unit.


12.
This record from Alexandria via LeMat-Bulk describes an optimized crystal structure of LiNd2Se. The functional is PBE.

abc: 3.9169 3.9169 10.6250
angles: 79.38 79.38 60.00
Closest atoms and distances in Å follow each position.
Fractional coordinates of all 4 atoms:
Nd 0.1089 0.1089 0.6733  3 Se 2.89
Nd 0.8911 0.8911 0.3267  3 Se 2.89
Li 0.0000 0.0000 0.0000  2 Nd 3.39
Se 0.5000 0.5000 0.5000  6 Nd 2.89

As for the volume: 137.9 Å³/cell. As for the raw formation energy: -2.2 eV per formula unit.